1.
TiTe3S | Alexandria via LeMat-Bulk | PBE-GGA | optimized geometry; theoretical density = 5.556 g cm⁻³; total energy = -18.33 eV for the cell shown; N(E_F) = 13.71 states/eV/cell; formation energy without anion corrections = 0.62 eV per atom; total magnetic moment = 0.00 μB/cell
1.0
5.171 0.000 0.000
0.000 5.171 0.000
0.000 0.000 5.171
Ti Te S
1 3 1
Direct
0.000 0.000 0.000
0.000 0.500 0.500
0.500 0.000 0.500
0.500 0.500 0.000
0.500 0.500 0.500

***

2.
TiTeS2 | Alexandria via LeMat-Bulk | PBE-GGA | optimized geometry; theoretical density = 4.639 g cm⁻³; total energy = -22.54 eV for the cell shown; N(E_F) = 2.89 states/eV/cell; formation energy without anion corrections = -0.81 eV per atom; total magnetic moment = 0.00 μB/cell
1.0
1.718 0.992 8.389
-1.718 0.992 8.389
0.000 -1.984 8.389
Ti Te S
1 1 2
Direct
0.000 0.000 0.000
0.500 0.500 0.500
0.390 0.390 0.390
0.610 0.610 0.610

***

3.
Ti6Te3S | Alexandria via LeMat-Bulk | PBE-GGA | optimized geometry; theoretical density = 5.809 g cm⁻³; total energy = -132.09 eV for the cell shown; N(E_F) = 17.20 states/eV/cell; formation energy without anion corrections = -0.51 eV per atom; total magnetic moment = 0.00 μB/cell
1.0
5.208 -6.239 0.000
5.208 6.239 0.000
0.000 0.000 6.176
Ti Te S
12 6 2
Direct
0.027 0.973 0.500
0.075 0.596 0.565
0.243 0.757 0.109
0.271 0.414 0.076
0.404 0.925 0.565
0.414 0.271 0.576
0.586 0.729 0.076
0.596 0.075 0.065
0.729 0.586 0.576
0.757 0.243 0.609
0.925 0.404 0.065
0.973 0.027 0.000
0.095 0.286 0.720
0.286 0.095 0.220
0.405 0.595 0.432
0.595 0.405 0.932
0.714 0.905 0.720
0.905 0.714 0.220
0.152 0.848 0.777
0.848 0.152 0.277

***

4.
Ti3TeS8 | Alexandria via LeMat-Bulk | PBE-GGA | optimized geometry; theoretical density = 2.998 g cm⁻³; total energy = -70.85 eV for the cell shown; formation energy without anion corrections = -0.92 eV per atom; total magnetic moment = 0.00 μB/cell
1.0
6.146 -3.550 0.000
6.146 3.550 0.000
-4.201 0.000 6.697
Ti Te S
3 1 8
Direct
0.000 0.000 0.000
0.000 0.500 0.000
0.500 0.000 0.000
0.500 0.500 0.000
0.221 0.748 0.212
0.237 0.237 0.205
0.252 0.252 0.788
0.252 0.779 0.788
0.748 0.221 0.212
0.748 0.748 0.212
0.763 0.763 0.795
0.779 0.252 0.788

***

5.
Ti4Te5S | Alexandria via LeMat-Bulk | PBE-GGA | optimized geometry; theoretical density = 6.130 g cm⁻³; total energy = -59.60 eV for the cell shown; N(E_F) = 4.95 states/eV/cell; formation energy without anion corrections = -0.82 eV per atom; total magnetic moment = 0.00 μB/cell
1.0
8.405 -1.843 0.000
8.405 1.843 0.000
-1.665 0.000 7.532
Ti Te S
4 5 1
Direct
0.002 0.002 0.294
0.357 0.357 0.428
0.643 0.643 0.572
0.998 0.998 0.706
0.163 0.163 0.842
0.173 0.173 0.325
0.500 0.500 0.000
0.827 0.827 0.675
0.837 0.837 0.158
0.500 0.500 0.500

***

6.
TiTeS2 | Alexandria via LeMat-Bulk | PBE-GGA | optimized geometry; theoretical density = 3.751 g cm⁻³; total energy = -41.08 eV for the cell shown; N(E_F) = 8.48 states/eV/cell; formation energy without anion corrections = -0.31 eV per atom; total magnetic moment = 0.00 μB/cell
1.0
-3.249 3.249 5.023
3.249 -3.249 5.023
3.249 3.249 -5.023
Ti Te S
2 2 4
Direct
0.000 0.000 0.000
0.750 0.250 0.500
0.250 0.750 0.500
0.500 0.500 0.000
0.034 0.625 0.909
0.375 0.284 0.409
0.716 0.125 0.091
0.875 0.966 0.591